[1]
Below is crystalline SrCu3Pd at its relaxed geometry, with properties calculated at the PBE level.

Symmetry: Pm-3m
Formation enthalpy at 0 K (meV per atom): 1597
N(E_F) (states/eV/f.u.): 9.09
Relative energy among the computed polymorphs (eV per atom): 1.7129

a b c (Å): 5.1352 5.1352 5.1352
angles (deg): 90.00 90.00 90.00
Positions (direct):
Sr  0.0000  0.0000  0.0000
Cu  0.0000  0.5000  0.0000
Cu  0.0000  0.0000  0.5000
Cu  0.5000  0.0000  0.0000
Pd  0.5000  0.5000  0.5000

[2]
Below is crystalline SrCu2Pd at its relaxed geometry, with properties calculated at the PBE level.

Symmetry: I4_1/amd
Formation enthalpy at 0 K (meV per atom): -110
N(E_F) (states/eV/f.u.): 1.15
Relative energy among the computed polymorphs (eV per atom): 0.1538

a b c (Å): 4.6135 4.6135 9.4581
angles (deg): 75.88 75.88 90.00
Positions (direct):
Sr  0.5000  0.5000  0.0000
Sr  0.2500  0.7500  0.5000
Cu  0.8752  0.1250  0.2500
Cu  0.8748  0.6250  0.2500
Cu  0.3750  0.1248  0.7500
Cu  0.8750  0.1252  0.7500
Pd  0.0000  0.0000  0.0000
Pd  0.7500  0.2500  0.5000

[3]
Below is crystalline Sr4Cu2Pd at its relaxed geometry, with properties calculated at the PBE level.

Symmetry: I4/mmm
Formation enthalpy at 0 K (meV per atom): -72
N(E_F) (states/eV/f.u.): 4.99

a b c (Å): 5.9495 5.9495 8.4261
angles (deg): 69.33 69.33 90.00
Positions (direct):
Sr  0.7932  0.7932  0.4136
Sr  0.2068  0.2068  0.5864
Sr  0.0000  0.5000  0.0000
Sr  0.5000  0.0000  0.0000
Cu  0.5836  0.5836  0.8328
Cu  0.4164  0.4164  0.1672
Pd  0.0000  0.0000  0.0000

[4]
Below is crystalline Sr2CuPd at its relaxed geometry, with properties calculated at the PBE level.

Symmetry: Immm
Formation enthalpy at 0 K (meV per atom): 733
N(E_F) (states/eV/f.u.): 1.93

a b c (Å): 6.5684 6.5684 6.5684
angles (deg): 59.18 139.23 139.03
Positions (direct):
Sr  0.0000  0.2611  0.2611
Sr  0.0000  0.7389  0.7389
Cu  0.0000  0.0000  0.0000
Pd  0.0000  0.5000  0.5000

[5]
Below is crystalline Sr2Cu2Pd at its relaxed geometry, with properties calculated at the PBE level.

Symmetry: I4/mmm
Formation enthalpy at 0 K (meV per atom): -97
N(E_F) (states/eV/f.u.): 2.77
Relative energy among the computed polymorphs (eV per atom): 0.1737

a b c (Å): 5.8568 5.8568 5.5815
angles (deg): 58.35 58.35 90.00
Positions (direct):
Sr  0.7500  0.2500  0.5000
Sr  0.2500  0.7500  0.5000
Cu  0.3433  0.3433  0.3133
Cu  0.6567  0.6567  0.6867
Pd  0.0000  0.0000  0.0000

[6]
Below is crystalline Sr2CuPd2 at its relaxed geometry, with properties calculated at the PBE level.

Symmetry: Immm
Formation enthalpy at 0 K (meV per atom): -492
N(E_F) (states/eV/f.u.): 1.70
Relative energy among the computed polymorphs (eV per atom): 0.0000

a b c (Å): 4.4432 5.8109 5.8901
angles (deg): 119.56 112.16 90.00
Positions (direct):
Sr  0.8038  0.3038  0.6077
Sr  0.1962  0.6962  0.3923
Cu  0.0000  0.0000  0.0000
Pd  0.5000  0.7515  0.0000
Pd  0.5000  0.2485  0.0000

[7]
Below is crystalline Sr3CuPd8 at its relaxed geometry, with properties calculated at the PBE level.

Symmetry: R3m
Formation enthalpy at 0 K (meV per atom): -442
N(E_F) (states/eV/f.u.): 6.01

a b c (Å): 5.5486 5.5486 9.5449
angles (deg): 73.10 73.10 60.00
Positions (direct):
Sr  0.6222  0.6222  0.1334
Sr  0.0111  0.0111  0.9666
Sr  0.4920  0.4920  0.5239
Cu  0.1443  0.1443  0.5671
Pd  0.5612  0.0611  0.8164
Pd  0.0590  0.5589  0.3230
Pd  0.5612  0.5612  0.8164
Pd  0.0590  0.0590  0.3230
Pd  0.8095  0.8095  0.5715
Pd  0.3102  0.3102  0.0693
Pd  0.0611  0.5612  0.8164
Pd  0.5589  0.0590  0.3230

[8]
Below is crystalline SrCu4Pd at its relaxed geometry, with properties calculated at the PBE level.

Symmetry: F-43m
Formation enthalpy at 0 K (meV per atom): -121
N(E_F) (states/eV/f.u.): 1.59

a b c (Å): 5.1342 5.1342 5.1342
angles (deg): 60.00 60.00 60.00
Positions (direct):
Sr  0.2500  0.2500  0.2500
Pd  0.0000  0.0000  0.0000
Cu  0.6265  0.6265  0.1206
Cu  0.6265  0.1206  0.6265
Cu  0.6265  0.6265  0.6265
Cu  0.1206  0.6265  0.6265

[9]
Below is crystalline Sr2CuPd3 at its relaxed geometry, with properties calculated at the PBE level.

Symmetry: P6_3/mmc
Formation enthalpy at 0 K (meV per atom): -510
N(E_F) (states/eV/f.u.): 2.71
Relative energy among the computed polymorphs (eV per atom): 0.0000

a b c (Å): 5.6912 5.6912 8.8153
angles (deg): 90.00 90.00 120.00
Positions (direct):
Sr  0.6667  0.3333  0.4372
Sr  0.3333  0.6667  0.5628
Sr  0.3333  0.6667  0.9372
Sr  0.6667  0.3333  0.0628
Cu  0.0000  0.0000  0.5000
Cu  0.0000  0.0000  0.0000
Pd  0.1645  0.3290  0.2500
Pd  0.3290  0.1645  0.7500
Pd  0.8355  0.6710  0.7500
Pd  0.1645  0.8355  0.2500
Pd  0.8355  0.1645  0.7500
Pd  0.6710  0.8355  0.2500

[10]
Below is crystalline Sr2Cu2Pd at its relaxed geometry, with properties calculated at the PBE level.

Symmetry: P4/mbm
Formation enthalpy at 0 K (meV per atom): -157
N(E_F) (states/eV/f.u.): 1.89
Relative energy among the computed polymorphs (eV per atom): 0.1139

a b c (Å): 7.4633 7.4633 4.2822
angles (deg): 90.00 90.00 90.00
Positions (direct):
Sr  0.1860  0.6860  0.5000
Sr  0.6860  0.8140  0.5000
Sr  0.8140  0.3140  0.5000
Sr  0.3140  0.1860  0.5000
Cu  0.3840  0.8840  0.0000
Cu  0.8840  0.6160  0.0000
Cu  0.6160  0.1160  0.0000
Cu  0.1160  0.3840  0.0000
Pd  0.0000  0.0000  0.0000
Pd  0.5000  0.5000  0.0000

What did the second record say?
Below is crystalline SrCu2Pd at its relaxed geometry, with properties calculated at the PBE level.

Symmetry: I4_1/amd
Formation enthalpy at 0 K (meV per atom): -110
N(E_F) (states/eV/f.u.): 1.15
Relative energy among the computed polymorphs (eV per atom): 0.1538

a b c (Å): 4.6135 4.6135 9.4581
angles (deg): 75.88 75.88 90.00
Positions (direct):
Sr  0.5000  0.5000  0.0000
Sr  0.2500  0.7500  0.5000
Cu  0.8752  0.1250  0.2500
Cu  0.8748  0.6250  0.2500
Cu  0.3750  0.1248  0.7500
Cu  0.8750  0.1252  0.7500
Pd  0.0000  0.0000  0.0000
Pd  0.7500  0.2500  0.5000

Q: The lowest formation enthalpy at 0 K belongs to which entry?
A: Sr2CuPd3